This record from Alexandria describes a relaxed BaMgNiO3 crystal. The functional is PBE+U.

Lattice parameters (Å, degrees): 5.940 5.940 5.598 90.00 90.00 123.82
Atoms (fractional coordinates):
Ba1 0.247 0.753 0.750
Ba2 0.753 0.247 0.250
Mg1 0.441 0.559 0.250
Mg2 0.559 0.441 0.750
Ni1 0.056 0.944 0.250
Ni2 0.944 0.056 0.750
O1 0.251 0.749 0.250
O2 0.252 0.252 0.000
O3 0.252 0.252 0.500
O4 0.748 0.748 0.000
O5 0.748 0.748 0.500
O6 0.749 0.251 0.750

Size of the total moment: 4.0 Bohr magnetons per cell
Final energy: -66.187 eV per cell